This record from Alexandria via LeMat-Bulk describes crystalline LiHoZn at its relaxed geometry. The functional is PBE.

Summary:
offset from the most stable computed form	0	meV per atom
ρ	6.5	g/cm3
formation energy	-0.4	eV per formula unit
electronic total energy	-16.3	eV/cell

```
LiHoZn
1.0
5.364 0.277 1.380
2.839 4.779 -0.211
1.316 -0.578 5.355
Zn Ho Li
2 2 2
Cartesian
7.525 4.812 2.479
5.500 4.384 4.467
5.222 1.376 5.597
2.937 2.613 3.545
4.843 4.673 1.790
6.104 2.422 2.584
```

---

This record from Alexandria via LeMat-Bulk describes crystalline LiHoZrZn at its relaxed geometry. The functional is PBE.

Summary:
ρ	6.6	g/cm3
formation energy	0.0	eV per formula unit
electronic total energy	-16.4	eV/cell

```
LiHoZrZn
1.0
-2.157 -1.970 -3.923
-0.236 -4.862 -0.477
-4.293 -2.297 0.465
Ho Li Zr Zn
1 1 1 1
Cartesian
-1.672 -2.282 -0.984
-3.343 -4.565 -1.967
-5.015 -6.847 -2.951
0.000 0.000 0.000
```

---

Magnetic moment: 0.000, 0.005 (μB/f.u.)